No. 1
Computed, not measured: Fe2ReAg after structural relaxation at the PBE level of DFT.

Unit cell a=4.1146 b=2.6163 c=5.4407 alpha=73.29 beta=90.00 gamma=90.00
Closest atoms and distances in Å follow each position.
Atoms (fractional coordinates):
Ag  0.5000  0.7724  0.7652  2 Ag 2.62, 6 Fe 2.67-2.85, 4 Re 2.88-2.92
Re  0.0000  0.4691  0.4631  3 Fe 2.48-2.54, 2 Re 2.62
Fe  0.5000  0.1991  0.2572  4 Fe 2.53-2.62, 4 Re 2.54-2.81, 2 Ag 2.67
Fe  0.0000  0.0593  0.0145  1 Re 2.48, 4 Fe 2.53-2.62, 2 Ag 2.69

Polymorph energy (0 for the lowest one) (meV per atom): 111
Energy of formation (meV per atom): 413
SG: No. 6

---

No. 2
Computed, not measured: FeReAg2 after structural relaxation at the PBE level of DFT.

Unit cell a=4.7824 b=2.6402 c=4.9903 alpha=83.11 beta=90.00 gamma=90.00
Closest atoms and distances in Å follow each position.
Atoms (fractional coordinates):
Re  0.5000  0.7500  0.7500  2 Re 2.64, 2 Fe 2.68, 4 Ag 2.85
Ag  0.0000  0.0407  0.0042  5 Ag 2.64-2.81, 2 Fe 2.77, 2 Re 2.85
Ag  0.0000  0.4593  0.4958  5 Ag 2.64-2.81, 2 Fe 2.77, 2 Re 2.85
Fe  0.5000  0.2500  0.2500  2 Fe 2.64, 2 Re 2.68, 4 Ag 2.77

Polymorph energy (0 for the lowest one) (meV per atom): 305
Energy of formation (meV per atom): 647
SG: No. 10

---

No. 3
Computed, not measured: FeReAg after structural relaxation at the PBE level of DFT.

Unit cell a=6.0334 b=6.0334 c=6.0334 alpha=153.39 beta=153.39 gamma=37.99
Closest atoms and distances in Å follow each position.
Atoms (fractional coordinates):
Ag  0.9942  0.9942  0.0000  4 Ag 2.78, 4 Fe 2.81, 4 Re 2.96
Re  0.6880  0.6880  0.0000  4 Fe 2.46
Fe  0.3178  0.3178  0.0000  4 Re 2.46

Polymorph energy (0 for the lowest one) (meV per atom): 30
Energy of formation (meV per atom): 422
SG: No. 107

---

No. 4
Computed, not measured: FeReAg2 after structural relaxation at the PBE level of DFT.

Unit cell a=4.7165 b=4.7165 c=5.2048 alpha=83.93 beta=83.93 gamma=32.66
Closest atoms and distances in Å follow each position.
Atoms (fractional coordinates):
Fe  0.4996  0.4996  0.4695  3 Re 2.58-2.71, 2 Fe 2.65, 5 Ag 2.80-2.87
Ag  0.7521  0.7521  0.7558  5 Ag 2.65-2.82, 2 Re 2.82, 3 Fe 2.86-2.87
Ag  0.9994  0.9994  0.9965  5 Ag 2.65-2.82, 2 Fe 2.80, 3 Re 2.82-2.88
Re  0.2489  0.2489  0.2782  3 Fe 2.58-2.71, 2 Re 2.65, 5 Ag 2.82-2.88

Polymorph energy (0 for the lowest one) (meV per atom): 237
Energy of formation (meV per atom): 579
SG: No. 8

---

No. 5
Computed, not measured: Fe2ReAg after structural relaxation at the PBE level of DFT.

Unit cell a=2.7674 b=4.6558 c=4.4698 alpha=90.00 beta=90.00 gamma=90.00
Closest atoms and distances in Å follow each position.
Atoms (fractional coordinates):
Ag  0.0000  0.5000  0.5000  4 Fe 2.63, 4 Re 2.71, 2 Ag 2.77
Fe  0.0000  0.0000  0.0000  4 Re 2.63, 6 Fe 2.71-2.77
Fe  0.5000  0.5000  0.0000  4 Ag 2.63, 6 Fe 2.71-2.77
Re  0.5000  0.0000  0.5000  4 Fe 2.63, 4 Ag 2.71, 2 Re 2.77

Polymorph energy (0 for the lowest one) (meV per atom): 335
Energy of formation (meV per atom): 637
SG: No. 47

---

No. 6
Computed, not measured: Fe2ReAg after structural relaxation at the PBE level of DFT.

Unit cell a=2.7524 b=2.7524 c=7.4118 alpha=90.00 beta=90.00 gamma=90.00
Closest atoms and distances in Å follow each position.
Atoms (fractional coordinates):
Ag  0.5000  0.5000  0.7616  4 Ag 2.75, 4 Fe 2.81, 4 Re 2.96
Re  0.0000  0.0000  0.4606  4 Fe 2.53, 4 Re 2.75
Fe  0.0000  0.0000  0.0358  8 Fe 2.47-2.75
Fe  0.5000  0.5000  0.2420  8 Fe 2.47-2.75, 4 Re 2.53

Polymorph energy (0 for the lowest one) (meV per atom): 42
Energy of formation (meV per atom): 344
SG: No. 99

---

No. 7
Computed, not measured: Fe2ReAg after structural relaxation at the PBE level of DFT.

Unit cell a=5.1998 b=5.1998 c=5.1998 alpha=148.87 beta=129.67 gamma=60.37
Closest atoms and distances in Å follow each position.
Atoms (fractional coordinates):
Ag  0.2393  0.7393  0.5000  6 Fe 2.62-2.74, 2 Ag 2.79, 2 Re 2.90
Fe  0.7611  0.2611  0.5000  2 Fe 2.39, 2 Re 2.56, 4 Ag 2.62
Fe  0.9775  0.9775  0.0000  2 Fe 2.39, 4 Re 2.65
Re  0.5221  0.5221  0.0000  6 Fe 2.56-2.65, 2 Re 2.79

Polymorph energy (0 for the lowest one) (meV per atom): 159
Energy of formation (meV per atom): 461
SG: No. 44

---

No. 8
Computed, not measured: FeReAg2 after structural relaxation at the PBE level of DFT.

Unit cell a=2.7380 b=4.6510 c=4.9336 alpha=90.00 beta=90.00 gamma=90.00
Closest atoms and distances in Å follow each position.
Atoms (fractional coordinates):
Fe  0.5000  0.0000  0.5000  4 Re 2.70, 2 Fe 2.74, 4 Ag 2.82
Ag  0.5000  0.5000  0.0000  6 Ag 2.70-2.74, 4 Re 2.82
Ag  0.0000  0.0000  0.0000  6 Ag 2.70-2.74, 4 Fe 2.82
Re  0.0000  0.5000  0.5000  4 Fe 2.70, 2 Re 2.74, 4 Ag 2.82

Polymorph energy (0 for the lowest one) (meV per atom): 307
Energy of formation (meV per atom): 650
SG: No. 47

---

Number 1: uncorrected energy -7.64 eV per atom, density of states at the Fermi level 3.15 states/eV per cell. Number 2: uncorrected energy -6.01 eV per atom, density of states at the Fermi level 5.05 states/eV per cell. Number 3: uncorrected energy -7.50 eV per atom, density of states at the Fermi level 3.00 states/eV per cell. Number 4: uncorrected energy -6.07 eV per atom, density of states at the Fermi level 3.35 states/eV per cell. Number 5: uncorrected energy -7.42 eV per atom, density of states at the Fermi level 4.38 states/eV per cell. Number 6: uncorrected energy -7.71 eV per atom, density of states at the Fermi level 5.30 states/eV per cell. Number 7: uncorrected energy -7.60 eV per atom, density of states at the Fermi level 3.23 states/eV per cell. Number 8: uncorrected energy -6.00 eV per atom, density of states at the Fermi level 4.09 states/eV per cell.